SmDyInPt | GGA-PBE | relaxed

Unit cell a=5.1839 b=5.1839 c=5.1839 alpha=60.00 beta=60.00 gamma=60.00
Atoms (fractional coordinates):
1 In 0.2500 0.2500 0.2500
2 Pt 0.7500 0.7500 0.7500
3 Sm 0.5000 0.5000 0.5000
4 Dy 0.0000 0.0000 0.0000

Properties
* SG: F-43m
* DFT formation energy: -0.71 eV/atom
* E_tot: -5.239 eV per atom



Sr2DyIn12Pt3 | GGA-PBE | relaxed

Unit cell a=8.7245 b=8.7245 c=8.7245 alpha=66.90 beta=66.90 gamma=66.90
Atoms (fractional coordinates):
1 Dy 0.0000 0.0000 0.0000
2 In 0.4406 0.8351 0.8351
3 In 0.2680 0.2680 0.8582
4 In 0.8351 0.4406 0.8351
5 In 0.7320 0.7320 0.1418
6 In 0.5594 0.1649 0.1649
7 In 0.1418 0.7320 0.7320
8 In 0.1649 0.5594 0.1649
9 In 0.7320 0.1418 0.7320
10 In 0.8351 0.8351 0.4406
11 In 0.1649 0.1649 0.5594
12 In 0.2680 0.8582 0.2680
13 In 0.8582 0.2680 0.2680
14 Sr 0.5848 0.5848 0.5848
15 Sr 0.4152 0.4152 0.4152
16 Pt 0.0000 0.5000 0.0000
17 Pt 0.5000 0.0000 0.0000
18 Pt 0.0000 0.0000 0.5000

Properties
* SG: R-3m
* DFT formation energy: -0.15 eV/atom
* E_tot: -3.430 eV per atom